# 1
Below is crystalline BaY2SnN4 at its relaxed geometry, with properties calculated at the GGA-PBE level.

Cell lengths 3.5457, 6.4657, 12.3865 Å; angles 90.00, 90.00, 105.91 degrees
With the nearest neighbours (Å) after each atom.
Fractional positions:
Y: 0.3701 0.7402 0.5333  3 N 2.28-2.43
Y: 0.6299 0.2598 0.0333  3 N 2.28-2.43
Y: 0.3701 0.7402 0.9667  3 N 2.28-2.43
Y: 0.6299 0.2598 0.4667  3 N 2.28-2.43
N: 0.4272 0.8543 0.7500  2 Sn 2.13
N: 0.5728 0.1457 0.2500  2 Sn 2.13
N: 0.0000 0.0000 0.0000  4 Y 2.43
N: 0.2561 0.5123 0.1104  1 Sn 2.05, 1 Y 2.28
N: 0.7439 0.4877 0.8896  1 Sn 2.05, 1 Y 2.28
N: 0.7439 0.4877 0.6104  1 Sn 2.05, 1 Y 2.28
N: 0.0000 0.0000 0.5000  4 Y 2.43
N: 0.2561 0.5123 0.3896  1 Sn 2.05, 1 Y 2.28
Sn: 0.8321 0.6643 0.7500  4 N 2.05-2.13
Sn: 0.1679 0.3357 0.2500  4 N 2.05-2.13
Ba: 0.9009 0.8018 0.2500  6 N 2.78-3.06
Ba: 0.0991 0.1982 0.7500  6 N 2.78-3.06

## Properties
Formation energy (no corrections) in meV per atom: -869.3
SG: Cmcm (63)

# 2
Below is crystalline Ba2ZnSnN at its relaxed geometry, with properties calculated at the GGA-PBE level.

Cell lengths 4.0789, 7.7635, 10.1027 Å; angles 109.62, 90.00, 90.00 degrees
With the nearest neighbours (Å) after each atom.
Fractional positions:
Ba: 0.2500 0.1877 0.3652  2 N 2.85
Ba: 0.2500 0.1978 0.9693  3 N 2.73-2.89
Ba: 0.7500 0.8123 0.6348  2 N 2.85
Ba: 0.7500 0.8022 0.0307  3 N 2.73-2.89
Zn: 0.2500 0.5636 0.7649  1 N 1.93
Zn: 0.7500 0.4364 0.2351  1 N 1.93
N: 0.7500 0.1724 0.1648  1 Zn 1.93
N: 0.2500 0.8276 0.8352  1 Zn 1.93
Sn: 0.7500 0.3160 0.6961  2 Zn 2.73
Sn: 0.2500 0.6840 0.3039  2 Zn 2.73

## Properties
D(E_F) in states/eV/atom: 0.377
Formation energy (no corrections) in meV per atom: -475.8
Energy above the lowest structure with this stoichiometry in kJ/mol of atoms: 0.0
SG: P2_1/m (11)

# 3
Below is crystalline BaZnSnN2 at its relaxed geometry, with properties calculated at the GGA-PBE level.

Cell lengths 4.4066, 5.4482, 4.4066 Å; angles 90.00, 90.00, 90.00 degrees
With the nearest neighbours (Å) after each atom.
Fractional positions:
N: 0.5000 0.0000 0.0000  2 Zn 2.20
N: 0.0000 0.0000 0.5000  2 Zn 2.20
Zn: 0.0000 0.0000 0.0000  4 N 2.20
Ba: 0.0000 0.5000 0.0000  2 Zn 2.72
Sn: 0.5000 0.5000 0.5000  4 Ba 3.12

## Properties
D(E_F) in states/eV/atom: 0.520
Formation energy (no corrections) in meV per atom: 1438.6
SG: P4/mmm (123)

# 4
Below is crystalline Ba2ZnSnN at its relaxed geometry, with properties calculated at the GGA-PBE level.

Cell lengths 6.0832, 6.0832, 3.8385 Å; angles 90.00, 90.00, 90.00 degrees
With the nearest neighbours (Å) after each atom.
Fractional positions:
N: 0.0000 0.0000 0.0000  2 Zn 1.92
Zn: 0.0000 0.0000 0.5000  2 N 1.92
Ba: 0.0000 0.5000 0.0000  2 N 3.04
Ba: 0.5000 0.0000 0.0000  2 N 3.04
Sn: 0.5000 0.5000 0.5000  8 Ba 3.60, 2 Sn 3.84

## Properties
D(E_F) in states/eV/atom: 0.817
Formation energy (no corrections) in meV per atom: -341.6
Energy above the lowest structure with this stoichiometry in kJ/mol of atoms: 12.9
SG: P4/mmm (123)

# 5
Below is crystalline BaSr8N4 at its relaxed geometry, with properties calculated at the GGA-PBE level.

Cell lengths 3.8830, 10.2635, 10.2740 Å; angles 87.74, 79.11, 79.10 degrees
With the nearest neighbours (Å) after each atom.
Fractional positions:
N: 0.8459 0.5142 0.7940  6 Sr 2.60-2.88
N: 0.6726 0.1748 0.4799  6 Sr 2.60-2.88
N: 0.1854 0.4889 0.1403  6 Sr 2.61-2.87
N: 0.3589 0.8287 0.4535  6 Sr 2.61-2.88
Sr: 0.8511 0.7110 0.5868  3 N 2.64-2.88
Sr: 0.5603 0.6230 0.2564  3 N 2.64-2.88
Sr: 0.8071 0.3680 0.0179  3 N 2.61-2.69
Sr: 0.1743 0.0512 0.6002  3 N 2.60-2.69
Sr: 0.1802 0.2928 0.3469  3 N 2.64-2.87
Sr: 0.4709 0.3805 0.6776  3 N 2.64-2.88
Sr: 0.2244 0.6351 0.9162  3 N 2.60-2.69
Sr: 0.8572 0.9525 0.3331  3 N 2.61-2.69
Ba: 0.5160 0.0015 0.9665  2 Ba 3.88, 8 Sr 4.20-4.21

## Properties
D(E_F) in states/eV/atom: 0.408
Formation energy (no corrections) in meV per atom: -393.6
SG: Cm (8)

# 6
Below is crystalline BaSrN at its relaxed geometry, with properties calculated at the GGA-PBE level.

Cell lengths 3.9555, 3.9555, 14.8099 Å; angles 89.81, 97.86, 120.01 degrees
With the nearest neighbours (Å) after each atom.
Fractional positions:
Ba: 0.5591 0.7803 0.3394  3 N 2.73
Ba: 0.4409 0.2197 0.6606  3 N 2.73
N: 0.8436 0.9197 0.7633  3 Sr 2.67, 3 Ba 2.73
N: 0.1564 0.0803 0.2367  3 Sr 2.67, 3 Ba 2.73
Sr: 0.7589 0.3827 0.1416  3 N 2.67
Sr: 0.2411 0.6173 0.8584  3 N 2.67

## Properties
D(E_F) in states/eV/atom: 0.482
Formation energy (no corrections) in meV per atom: -467.4
Energy above the lowest structure with this stoichiometry in kJ/mol of atoms: 0.0
SG: C2/m (12)

# 7
Below is crystalline Ba2Sr4N at its relaxed geometry, with properties calculated at the GGA-PBE level.

Cell lengths 5.3636, 5.3636, 12.3154 Å; angles 77.42, 77.42, 90.00 degrees
With the nearest neighbours (Å) after each atom.
Fractional positions:
N: 0.0000 0.0000 0.0000  6 Sr 2.56-2.68
Sr: 0.5000 0.0000 0.0000  2 N 2.68
Sr: 0.0000 0.5000 0.0000  2 N 2.68
Sr: 0.8906 0.8906 0.2188  1 N 2.56
Sr: 0.1094 0.1094 0.7812  1 N 2.56
Ba: 0.6944 0.6944 0.6112  5 Sr 4.28-4.60, 4 Ba 4.60
Ba: 0.3056 0.3056 0.3888  5 Sr 4.28-4.60, 4 Ba 4.60

## Properties
D(E_F) in states/eV/atom: 1.303
Formation energy (no corrections) in meV per atom: -143.4
SG: I4/mmm (139)

# 8
Below is crystalline Ba2SrN at its relaxed geometry, with properties calculated at the GGA-PBE level.

Cell lengths 4.0660, 4.0660, 11.7562 Å; angles 80.04, 80.04, 60.00 degrees
With the nearest neighbours (Å) after each atom.
Fractional positions:
Ba: 0.1230 0.1230 0.6309  3 N 2.79
Ba: 0.8770 0.8770 0.3691  3 N 2.79
N: 0.5000 0.5000 0.5000  6 Ba 2.79
Sr: 0.0000 0.0000 0.0000  6 Sr 4.07, 2 Ba 4.25

## Properties
D(E_F) in states/eV/atom: 1.012
Formation energy (no corrections) in meV per atom: -235.4
SG: R-3m (166)

Number 1: final energy -118.22 eV/cell. Number 2: final energy -39.65 eV/cell. Number 3: final energy -16.66 eV/cell. Number 4: final energy -19.16 eV/cell. Number 5: final energy -53.80 eV/cell. Number 6: final energy -26.66 eV/cell. Number 7: final energy -19.90 eV/cell. Number 8: final energy -14.79 eV/cell.